(1)
A plane-wave DFT calculation with GGA-PBE was carried out for a geometry-optimized YPbW2 structure.

The structure in extended XYZ format:
```
4
Lattice="2.9662 0.0000 0.0000 0.0000 4.9026 0.0000 0.0000 0.0000 6.2217" Properties=species:S:1:pos:R:3 pbc="T T T"
Y 0.0000 0.0000 0.0000
Pb 0.0000 0.0000 3.1108
W 1.4831 2.4513 1.2333
W 1.4831 2.4513 4.9884
```

Summary:
Calculated density   12.18 g cm⁻³
E above lowest polymorph   609.1 meV per atom
SG   Pmmm (47)
ΔE_f   0.872 eV/atom

(2)
A plane-wave DFT calculation with GGA-PBE was carried out for a geometry-optimized Y4PbW structure.

The structure in extended XYZ format:
```
6
Lattice="0.0000 4.3171 4.3171 4.3171 0.0000 4.3171 4.3171 4.3171 0.0000" Properties=species:S:1:pos:R:3 pbc="T T T"
Y 3.2552 3.2552 3.2552
Y 5.3791 5.3791 3.2552
Y 5.3791 3.2552 5.3791
Y 3.2552 5.3791 5.3791
Pb 0.0000 0.0000 0.0000
W 6.4757 6.4757 6.4757
```

Summary:
Calculated density   7.70 g cm⁻³
SG   F-43m (216)
ΔE_f   0.798 eV/atom

(3)
A plane-wave DFT calculation with GGA-PBE was carried out for a geometry-optimized Y2PbW structure.

The structure in extended XYZ format:
```
4
Lattice="3.3790 -4.4545 0.0000 3.3790 4.4545 0.0000 0.0000 0.0000 3.2331" Properties=species:S:1:pos:R:3 pbc="T T T"
Y 1.6895 2.2272 0.0000
Y 1.6895 -2.2272 0.0000
Pb 0.0000 0.0000 1.6166
W 3.3790 0.0000 1.6166
```

Summary:
Calculated density   9.71 g cm⁻³
E above lowest polymorph   103.6 meV per atom
SG   Cmmm (65)
ΔE_f   0.267 eV/atom

(4)
A plane-wave DFT calculation with GGA-PBE was carried out for a geometry-optimized YPbW2 structure.

The structure in extended XYZ format:
```
4
Lattice="3.0476 0.0000 0.0000 0.0000 5.0925 0.0000 -0.4565 0.0000 5.5572" Properties=species:S:1:pos:R:3 pbc="T T T"
Y 0.0000 0.0000 0.0000
Pb 1.2956 0.0000 2.7786
W 0.6796 2.5462 4.3862
W 1.9115 2.5462 1.1711
```

Summary:
Calculated density   12.78 g cm⁻³
E above lowest polymorph   414.5 meV per atom
SG   P2/m (10)
ΔE_f   0.677 eV/atom

(5)
A plane-wave DFT calculation with GGA-PBE was carried out for a geometry-optimized YPbW2 structure.

The structure in extended XYZ format:
```
4
Lattice="3.6794 0.0000 0.0000 0.0000 3.6794 0.0000 0.0000 0.0000 6.3972" Properties=species:S:1:pos:R:3 pbc="T T T"
Y 0.0000 0.0000 0.0000
Pb 0.0000 0.0000 3.1986
W 1.8397 1.8397 1.9215
W 1.8397 1.8397 4.4757
```

Summary:
Calculated density   12.73 g cm⁻³
E above lowest polymorph   541.5 meV per atom
SG   P4/mmm (123)
ΔE_f   0.804 eV/atom

(6)
A plane-wave DFT calculation with GGA-PBE was carried out for a geometry-optimized YPbW2 structure.

The structure in extended XYZ format:
```
4
Lattice="0.0000 3.4338 3.4338 3.4338 0.0000 3.4338 3.4338 3.4338 0.0000" Properties=species:S:1:pos:R:3 pbc="T T T"
Y 0.0000 0.0000 0.0000
Pb 3.4338 3.4338 3.4338
W 1.7169 1.7169 1.7169
W 5.1507 5.1507 5.1507
```

Summary:
Calculated density   13.61 g cm⁻³
E above lowest polymorph   852.6 meV per atom
SG   Fm-3m (225)
ΔE_f   1.115 eV/atom

(7)
A plane-wave DFT calculation with GGA-PBE was carried out for a geometry-optimized Y2PbW structure.

The structure in extended XYZ format:
```
8
Lattice="-4.1509 4.1509 3.0626 4.1509 -4.1509 3.0626 4.1509 4.1509 -3.0626" Properties=species:S:1:pos:R:3 pbc="T T T"
Y 6.2264 1.7480 -0.7657
Y 1.7480 2.0755 0.7657
Y -2.0755 2.4029 2.2970
Y 2.4029 2.0755 3.8283
Pb 4.1509 0.0000 1.5313
Pb 0.0000 0.0000 3.0626
W 0.0000 0.0000 0.0000
W 0.0000 4.1509 1.5313
```

Summary:
Calculated density   8.95 g cm⁻³
E above lowest polymorph   510.2 meV per atom
SG   I-42d (122)
ΔE_f   0.673 eV/atom

(8)
A plane-wave DFT calculation with GGA-PBE was carried out for a geometry-optimized Y2PbW2 structure.

The structure in extended XYZ format:
```
5
Lattice="-2.3456 2.3456 6.0468 2.3456 -2.3456 6.0468 2.3456 2.3456 -6.0468" Properties=species:S:1:pos:R:3 pbc="T T T"
Y 2.3456 0.0000 3.0234
Y 0.0000 2.3456 3.0234
Pb 0.0000 0.0000 0.0000
W 0.0000 0.0000 4.9215
W 0.0000 0.0000 7.1721
```

Summary:
Calculated density   9.39 g cm⁻³
E above lowest polymorph   772.1 meV per atom
SG   I4/mmm (139)
ΔE_f   1.127 eV/atom

(9)
A plane-wave DFT calculation with GGA-PBE was carried out for a geometry-optimized YPb2W structure.

The structure in extended XYZ format:
```
4
Lattice="3.5309 0.0000 0.0000 0.0000 3.5309 0.0000 0.0000 0.0000 7.5803" Properties=species:S:1:pos:R:3 pbc="T T T"
Y 0.0000 0.0000 0.0000
Pb 1.7655 1.7655 2.1597
Pb 1.7655 1.7655 5.4206
W 0.0000 0.0000 3.7901
```

Summary:
Calculated density   12.07 g cm⁻³
E above lowest polymorph   30.3 meV per atom
SG   P4/mmm (123)
ΔE_f   0.448 eV/atom

(10)
A plane-wave DFT calculation with GGA-PBE was carried out for a geometry-optimized Y2PbW structure.

The structure in extended XYZ format:
```
4
Lattice="1.7234 0.9950 10.0274 -1.7234 0.9950 10.0274 0.0000 -1.9901 10.0274" Properties=species:S:1:pos:R:3 pbc="T T T"
Y 0.0000 0.0000 7.2602
Y 0.0000 0.0000 22.8220
Pb 0.0000 0.0000 0.0000
W 0.0000 0.0000 15.0411
```

Summary:
Calculated density   9.16 g cm⁻³
E above lowest polymorph   172.9 meV per atom
SG   R-3m (166)
ΔE_f   0.336 eV/atom

(11)
A plane-wave DFT calculation with GGA-PBE was carried out for a geometry-optimized YPbW4 structure.

The structure in extended XYZ format:
```
6
Lattice="0.0000 3.8934 3.8934 3.8934 0.0000 3.8934 3.8934 3.8934 0.0000" Properties=species:S:1:pos:R:3 pbc="T T T"
Y 0.0000 0.0000 0.0000
Pb 5.8401 5.8401 5.8401
W 2.9211 2.9211 2.9211
W 4.8658 4.8658 2.9211
W 4.8658 2.9211 4.8658
W 2.9211 4.8658 4.8658
```

Summary:
Calculated density   14.51 g cm⁻³
SG   F-43m (216)
ΔE_f   0.444 eV/atom

(12)
A plane-wave DFT calculation with GGA-PBE was carried out for a geometry-optimized YPbW2 structure.

The structure in extended XYZ format:
```
4
Lattice="3.2972 0.0000 0.0000 0.0000 3.3027 0.0000 -0.0130 0.0000 8.0821" Properties=species:S:1:pos:R:3 pbc="T T T"
Y 0.0000 0.0000 0.0000
Pb 1.6383 1.6513 2.6370
W 1.6327 1.6513 6.0078
W 3.2811 0.0000 4.7324
```

Summary:
Calculated density   12.52 g cm⁻³
E above lowest polymorph   0.0 meV per atom
SG   Pm (6)
ΔE_f   0.262 eV/atom

(13)
A plane-wave DFT calculation with GGA-PBE was carried out for a geometry-optimized Y2PbW structure.

The structure in extended XYZ format:
```
4
Lattice="0.0000 3.6563 3.6563 3.6563 0.0000 3.6563 3.6563 3.6563 0.0000" Properties=species:S:1:pos:R:3 pbc="T T T"
Y 1.8282 1.8282 1.8282
Y 5.4845 5.4845 5.4845
Pb 0.0000 0.0000 0.0000
W 3.6563 3.6563 3.6563
```

Summary:
Calculated density   9.66 g cm⁻³
E above lowest polymorph   91.6 meV per atom
SG   Fm-3m (225)
ΔE_f   0.255 eV/atom

(14)
A plane-wave DFT calculation with GGA-PBE was carried out for a geometry-optimized YPbW3 structure.

The structure in extended XYZ format:
```
5
Lattice="5.0379 0.0000 0.0000 0.0000 5.0379 0.0000 0.0000 0.0000 5.0379" Properties=species:S:1:pos:R:3 pbc="T T T"
Y 0.0000 0.0000 0.0000
Pb 2.5190 2.5190 2.5190
W 0.0000 2.5190 2.5190
W 2.5190 0.0000 2.5190
W 2.5190 2.5190 0.0000
```

Summary:
Calculated density   11.01 g cm⁻³
E above lowest polymorph   0.0 meV per atom
SG   Pm-3m (221)
ΔE_f   2.480 eV/atom

(15)
A plane-wave DFT calculation with GGA-PBE was carried out for a geometry-optimized YPbW2 structure.

The structure in extended XYZ format:
```
8
Lattice="-4.0550 4.0550 2.8196 4.0550 -4.0550 2.8196 4.0550 4.0550 -2.8196" Properties=species:S:1:pos:R:3 pbc="T T T"
Y 0.0000 0.0000 0.0000
Y 0.0000 4.0550 1.4098
Pb 4.0550 0.0000 1.4098
Pb 0.0000 0.0000 2.8196
W 2.0275 -1.7753 2.1147
W 2.2797 2.0275 0.7049
W 2.0275 5.8304 -0.7049
W 1.7753 2.0275 3.5245
```

Summary:
Calculated density   11.89 g cm⁻³
E above lowest polymorph   1123.1 meV per atom
SG   I-42d (122)
ΔE_f   1.386 eV/atom

(16)
A plane-wave DFT calculation with GGA-PBE was carried out for a geometry-optimized YPb2W structure.

The structure in extended XYZ format:
```
4
Lattice="-2.2041 2.2041 4.9805 2.2041 -2.2041 4.9805 2.2041 2.2041 -4.9805" Properties=species:S:1:pos:R:3 pbc="T T T"
Y 0.0000 0.0000 0.0000
Pb 2.2041 0.0000 2.4903
Pb 0.0000 0.0000 4.9805
W 0.0000 2.2041 2.4903
```

Summary:
Calculated density   11.79 g cm⁻³
E above lowest polymorph   119.9 meV per atom
SG   I-4m2 (119)
ΔE_f   0.537 eV/atom

(17)
A plane-wave DFT calculation with GGA-PBE was carried out for a geometry-optimized YPb2W structure.

The structure in extended XYZ format:
```
4
Lattice="6.4567 -1.6001 0.0000 6.4567 1.6001 0.0000 -1.5194 0.0000 4.9026" Properties=species:S:1:pos:R:3 pbc="T T T"
Y 0.0000 0.0000 0.0000
Pb 6.6884 0.0000 2.7648
Pb 9.7655 0.0000 1.7421
W 2.4064 0.0000 4.2321
```

Summary:
Calculated density   11.26 g cm⁻³
E above lowest polymorph   108.7 meV per atom
SG   Cm (8)
ΔE_f   0.526 eV/atom

(18)
A plane-wave DFT calculation with GGA-PBE was carried out for a geometry-optimized Y2PbW structure.

The structure in extended XYZ format:
```
4
Lattice="4.8080 -1.6148 0.0000 4.8080 1.6148 0.0000 -0.8392 0.0000 6.6191" Properties=species:S:1:pos:R:3 pbc="T T T"
Y 2.1807 0.0000 1.5160
Y 6.5960 0.0000 5.1031
Pb -0.4196 0.0000 3.3095
W 4.8080 0.0000 0.0000
```

Summary:
Calculated density   9.19 g cm⁻³
E above lowest polymorph   262.7 meV per atom
SG   C2/m (12)
ΔE_f   0.426 eV/atom

(19)
A plane-wave DFT calculation with GGA-PBE was carried out for a geometry-optimized YPb2W structure.

The structure in extended XYZ format:
```
4
Lattice="3.8719 0.0000 0.0000 0.0000 4.7593 0.0000 0.0000 0.0000 5.1922" Properties=species:S:1:pos:R:3 pbc="T T T"
Y 0.0000 0.0000 0.0000
Pb 0.0000 2.3796 2.5961
Pb 1.9360 2.3796 0.0000
W 1.9360 0.0000 2.5961
```

Summary:
Calculated density   11.93 g cm⁻³
E above lowest polymorph   91.1 meV per atom
SG   Pmmm (47)
ΔE_f   0.508 eV/atom

(20)
A plane-wave DFT calculation with GGA-PBE was carried out for a geometry-optimized YPb2W structure.

The structure in extended XYZ format:
```
4
Lattice="0.0000 3.7044 3.7044 3.7044 0.0000 3.7044 3.7044 3.7044 0.0000" Properties=species:S:1:pos:R:3 pbc="T T T"
Y 0.0000 0.0000 0.0000
Pb 1.8522 1.8522 1.8522
Pb 3.7044 3.7044 3.7044
W 5.5566 5.5566 5.5566
```

Summary:
Calculated density   11.22 g cm⁻³
E above lowest polymorph   312.7 meV per atom
SG   F-43m (216)
ΔE_f   0.730 eV/atom